VASP calculation (PBE) on a geometry-optimized CdCu2O2 structure.

The space group is C2/c (No. 15) and the conventional cell measures 8.025, 7.777 and 5.848 Å, with angles of 90.00, 130.50 and 90.00 degrees. The distinct sites, in fractional coordinates, are Cd at (0.000, 0.117, 0.250), Cu at (0.000, 0.500, 0.000), Cu at (0.250, 0.250, 0.000) and O at (0.219, 0.091, 0.740).

The value obtained for the density of states at the Fermi level is 4.6 states/eV/cell. For the energy above the most stable polymorph in this dataset, the calculation gives 0.000 eV per atom. Its raw formation energy is -594 meV/atom.